A plane-wave DFT calculation with GGA-PBE was carried out for crystalline Ce2ReC3 at its relaxed geometry.

Cell and atoms, written as POSCAR:
```
Ce2ReC3
1.0
5.311 -0.291 -0.208
0.322 5.908 -0.063
0.321 1.871 5.593
Re Ce C
2 4 6
direct
0.250 0.088 0.912
0.750 0.912 0.088
0.750 0.175 0.509
0.250 0.825 0.491
0.250 0.509 0.174
0.750 0.491 0.826
0.500 0.840 0.839
0.000 0.840 0.839
0.750 0.639 0.358
0.500 0.160 0.161
0.250 0.361 0.642
0.000 0.160 0.161
```

Summary:
DFT formation energy, meV per atom: -31
Uncorrected energy, eV per atom: -8.70


A plane-wave DFT calculation with GGA-PBE was carried out for crystalline Ce2Re2C3 at its relaxed geometry.

Cell and atoms, written as POSCAR:
```
Ce2Re2C3
1.0
-2.536 -1.969 0.701
3.262 -2.883 3.702
-1.771 5.722 1.958
C Ce Re
3 2 2
direct
0.253 0.739 0.506
0.747 0.261 0.494
0.000 0.000 0.000
0.604 0.797 0.207
0.396 0.203 0.793
0.156 0.322 0.313
0.844 0.678 0.687
```

Summary:
DFT formation energy, meV per atom: -285
Uncorrected energy, eV per atom: -9.49


A plane-wave DFT calculation with GGA-PBE was carried out for crystalline Ce5ReC6 at its relaxed geometry.

Cell and atoms, written as POSCAR:
```
Ce5ReC6
1.0
-0.530 -4.697 3.833
5.500 -2.499 0.848
3.597 2.009 4.534
C Ce Re
6 5 1
direct
0.229 0.221 0.000
0.775 0.076 0.294
0.771 0.779 0.000
0.225 0.630 0.294
0.775 0.370 0.706
0.225 0.924 0.706
0.500 0.165 0.670
0.000 0.333 0.334
0.500 0.835 0.330
0.500 0.500 0.000
0.000 0.667 0.666
0.000 0.000 0.000
```

Summary:
DFT formation energy, meV per atom: -58
Uncorrected energy, eV per atom: -8.18


A plane-wave DFT calculation with GGA-PBE was carried out for crystalline CeRe2C at its relaxed geometry.

Cell and atoms, written as POSCAR:
```
CeRe2C
1.0
2.958 0.000 0.000
1.479 2.562 0.000
1.479 0.854 8.044
Re Ce C
2 1 1
direct
0.282 0.282 0.155
0.718 0.718 0.845
0.500 0.500 0.500
0.000 0.000 0.000
```

Summary:
DFT formation energy, meV per atom: 377
Uncorrected energy, eV per atom: -9.64
Polymorph energy (0 for the lowest one), meV/atom: 111


The lowest uncorrected energy belongs to which entry? CeRe2C


Which value of DFT formation energy does entry 2 give? -285 meV per atom


Number 3 is which compound? Ce5ReC6


Number 2 is which compound? Ce2Re2C3